This record from the Alexandria database describes MnTcN2Cl after structural relaxation. The functional is PBE.

## Properties
Crystal system: tetragonal
Magnetic moment, μB per atom: 1.11
Formation energy (no corrections), eV/atom: 2.4554
Energy, eV per cell: -25.8

a b c (Å): 3.988 3.988 4.189
angles (deg): 90.00 90.00 90.00
Space group P4/mmm (No. 123)
Unique sites:
Mn: 0.000 0.000 0.000 x1
Tc: 0.500 0.500 0.000 x1
N: 0.000 0.500 0.500 x2
Cl: 0.000 0.000 0.500 x1

This record from the Alexandria database describes MnTe2NCl after structural relaxation. The functional is PBE.

## Properties
Relative energy among the computed polymorphs, meV/atom: 0
Crystal system: tetragonal
Magnetic moment, μB per atom: 0.00
Formation energy (no corrections), eV/atom: 0.2261
Energy, eV per cell: -24.5

a b c (Å): 5.364 5.364 3.439
angles (deg): 90.00 90.00 90.00
Space group P4/mmm (No. 123)
Unique sites:
Mn: 0.000 0.000 0.000 x1
Te: 0.000 0.500 0.000 x2
N: 0.000 0.000 0.500 x1
Cl: 0.500 0.500 0.500 x1

This record from the Alexandria database describes MnTe2NCl after structural relaxation. The functional is PBE.

## Properties
Relative energy among the computed polymorphs, meV/atom: 1619
Crystal system: tetragonal
Magnetic moment, μB per atom: 0.01
Formation energy (no corrections), eV/atom: 1.8453
Energy, eV per cell: -16.4

a b c (Å): 5.483 5.483 3.389
angles (deg): 90.00 90.00 90.00
Space group P4/mmm (No. 123)
Unique sites:
Mn: 0.000 0.000 0.000 x1
Te: 0.000 0.500 0.500 x2
N: 0.500 0.500 0.000 x1
Cl: 0.500 0.500 0.500 x1

This record from the Alexandria database describes MnZn2NCl after structural relaxation. The functional is PBE.

## Properties
Crystal system: tetragonal
Magnetic moment, μB per atom: 1.29
Formation energy (no corrections), eV/atom: 1.1449
Energy, eV per cell: -16.2

a b c (Å): 5.068 5.068 4.652
angles (deg): 90.00 90.00 90.00
Space group P4/mmm (No. 123)
Unique sites:
Mn: 0.000 0.000 0.000 x1
Zn: 0.000 0.500 0.000 x2
N: 0.500 0.500 0.500 x1
Cl: 0.000 0.000 0.500 x1

This record from the Alexandria database describes Na3MnCl4 after structural relaxation. The functional is PBE.

## Properties
Crystal system: tetragonal
Magnetic moment, μB per atom: 0.58
Formation energy (no corrections), eV/atom: -1.2907
Energy, eV per cell: -61.7

a b c (Å): 5.630 5.630 11.332
angles (deg): 90.00 90.00 90.00
Space group I4/mmm (No. 139)
Unique sites:
Na: 0.000 0.000 0.000 x2
Na: 0.000 0.500 0.250 x4
Mn: 0.000 0.000 0.500 x2
Cl: 0.000 0.000 0.258 x4
Cl: 0.000 0.500 0.000 x4

This record from the Alexandria database describes NaMnCl2 after structural relaxation. The functional is PBE.

## Properties
Relative energy among the computed polymorphs, meV/atom: 108
Crystal system: tetragonal
Magnetic moment, μB per atom: 1.06
Formation energy (no corrections), eV/atom: -0.8184
Energy, eV per cell: -69.8

a b c (Å): 6.086 6.086 11.424
angles (deg): 90.00 90.00 90.00
Space group I-42d (No. 122)
Unique sites:
Na: 0.000 0.000 0.000 x4
Mn: 0.000 0.000 0.500 x4
Cl: 0.212 0.250 0.625 x8

Asked for volume across the records above, the calculation gives 66.61; 98.96; 101.89; 119.46; 359.21; 423.17 Å³ per cell in order.